# BaLaAgTe2S | the Open Quantum Materials Database | PBE | optimized geometry
data_BaLaAgTe2S
_chemical_formula_sum 'Ba2 La2 Ag2 Te4 S2'
_space_group_name_H-M_alt 'P 1'
_space_group_IT_number 1
_space_group_name_Hall 'P 1'
_cell_length_a 7.856
_cell_length_b 7.856
_cell_length_c 11.076
_cell_angle_alpha 90.00
_cell_angle_beta 90.00
_cell_angle_gamma 146.37
loop_
_atom_site_label
_atom_site_fract_x
_atom_site_fract_y
_atom_site_fract_z
Ag1 0.976 0.024 0.250
Ag2 0.024 0.976 0.750
Ba1 0.226 0.774 0.250
Ba2 0.774 0.226 0.750
La1 0.500 0.500 0.000
La2 0.500 0.500 0.500
S1 0.569 0.431 0.250
S2 0.431 0.569 0.750
Te1 0.853 0.147 0.060
Te2 0.853 0.147 0.440
Te3 0.147 0.853 0.560
Te4 0.147 0.853 0.940
# Size of the total moment ... 0.01 μB/f.u.
# Space-group type ... No. 63
# ρ ... 5.9 Mg/m³
# Raw total energy ... -4.7988 eV/atom